# meta-GGA SCAN Zn2Co, single point on PBEsol structure
# Calculated formation energy   0.036 eV/atom
data_Zn2Co
_space_group_name_H-M_alt 'P 4/m m m'
_space_group_IT_number 123
_space_group_name_Hall '-P 4 2'
_cell_length_a 4.055
_cell_length_b 4.055
_cell_length_c 2.597
_cell_angle_alpha 90.00
_cell_angle_beta 90.00
_cell_angle_gamma 90.00
loop_
_atom_site_label
_atom_site_type_symbol
_atom_site_fract_x
_atom_site_fract_y
_atom_site_fract_z
_atom_site_occupancy
Zn1 Zn 0.000 0.500 0.000 1
Co1 Co 0.000 0.000 0.500 1